First-principles (PBE-GGA) data for a relaxed structure of La4DyIn, as listed in the Alexandria database.

## Properties
For the magnetic moment, the calculation gives 0.00 μB per formula unit. The value obtained for the calculated formation energy is 23.2 kJ per mole of atoms. Its space group is Cm (8). The value obtained for the raw total energy is -4.2681 eV per atom.

Structure (CIF):
```
data_La4DyIn
_space_group_name_H-M_alt 'P 1'
_space_group_IT_number 1
_cell_length_a 7.776
_cell_length_b 7.776
_cell_length_c 7.738
_cell_angle_alpha 90.00
_cell_angle_beta 90.15
_cell_angle_gamma 90.00
loop_
_space_group_symop_operation_xyz
'x,y,z'
loop_
_atom_site_label
_atom_site_type_symbol
_atom_site_fract_x
_atom_site_fract_y
_atom_site_fract_z
_atom_site_occupancy
La1 La 0.000 0.250 0.000 1
La2 La 0.000 0.750 0.000 1
La3 La 0.001 0.250 0.489 1
La4 La 0.001 0.750 0.489 1
La5 La 0.500 0.250 0.000 1
La6 La 0.500 0.750 0.000 1
La7 La 0.501 0.250 0.489 1
La8 La 0.501 0.750 0.489 1
Dy1 Dy 0.250 0.000 0.744 1
Dy2 Dy 0.750 0.500 0.744 1
In1 In 0.250 0.500 0.245 1
In2 In 0.750 0.000 0.245 1
```